Sm8InPd2 PBE relaxed; space-group type = C2/m, No. 12; E_tot = -54.1 eV per cell; ΔE_f = -0.295 eV/atom; total magnetic moment = 0.0 μB per cell; distance to the lowest polymorph of the same formula = 71.8 meV per atom
1.0
4.420 -6.959 0.000
4.420 6.959 0.000
-1.535 0.000 5.356
Sm In Pd
8 1 2
direct
0.082 0.326 0.573
0.243 0.757 0.000
0.326 0.082 0.573
0.394 0.394 0.191
0.606 0.606 0.809
0.674 0.918 0.427
0.757 0.243 0.000
0.918 0.674 0.427
0.000 0.000 0.000
0.303 0.697 0.500
0.697 0.303 0.500

AlNi PBE relaxed; space-group type = P-3m1, No. 164; E_tot = -19.8 eV per cell; ΔE_f = -0.177 eV/atom; total magnetic moment = 0.0 μB per cell
1.0
2.747 0.000 0.000
-1.373 2.379 0.000
0.000 0.000 7.972
Al Ni
2 2
direct
0.333 0.667 0.147
0.667 0.333 0.853
0.333 0.667 0.623
0.667 0.333 0.377

CaScBi3 PBE relaxed; space-group type = Pbcm, No. 57; E_tot = -90.1 eV per cell; ΔE_f = -0.511 eV/atom; total magnetic moment = 0.0 μB per cell; distance to the lowest polymorph of the same formula = 0.0 meV per atom
1.0
14.000 0.000 0.000
0.000 6.346 0.000
0.000 0.000 6.834
Ca Sc Bi
4 4 12
direct
0.185 0.020 0.250
0.185 0.480 0.750
0.815 0.520 0.250
0.815 0.980 0.750
0.401 0.750 0.000
0.401 0.750 0.500
0.599 0.250 0.000
0.599 0.250 0.500
0.011 0.750 0.000
0.011 0.750 0.500
0.259 0.503 0.250
0.259 0.997 0.750
0.425 0.149 0.250
0.425 0.351 0.750
0.575 0.649 0.250
0.575 0.851 0.750
0.741 0.003 0.250
0.741 0.497 0.750
0.989 0.250 0.000
0.989 0.250 0.500

CrTcHg PBE relaxed; space-group type = P3m1, No. 156; E_tot = -18.9 eV per cell; ΔE_f = 0.454 eV/atom; total magnetic moment = 0.0 μB per cell; distance to the lowest polymorph of the same formula = 93.7 meV per atom
1.0
2.927 0.000 0.000
-1.464 2.535 0.000
0.000 0.000 6.620
Cr Tc Hg
1 1 1
direct
0.000 0.000 0.000
0.333 0.667 0.747
0.667 0.333 0.361

SbTeCl2 PBE relaxed; space-group type = R3m, No. 160; E_tot = -11.9 eV per cell; energy relative to the elements, uncorrected = -239 meV/atom; total magnetic moment = 0.0 μB per cell; distance to the lowest polymorph of the same formula = 291.0 meV per atom
1.0
2.052 1.184 8.724
-2.052 1.184 8.724
0.000 -2.369 8.724
Sb Te Cl
1 1 2
direct
0.000 0.000 0.000
0.733 0.733 0.733
0.266 0.266 0.266
0.475 0.475 0.475

TeH4I5 PBE relaxed; space-group type = I4, No. 79; E_tot = -23.1 eV per cell; total magnetic moment = 0.0 μB per cell
1.0
-5.799 5.799 2.818
5.799 -5.799 2.818
5.799 5.799 -2.818
Te H I
1 4 5
direct
0.000 0.000 0.000
0.208 0.880 0.406
0.474 0.802 0.594
0.802 0.208 0.328
0.880 0.474 0.672
0.011 0.810 0.500
0.311 0.511 0.500
0.499 0.499 0.000
0.511 0.011 0.200
0.810 0.311 0.800

Ba4AsCl5 PBE relaxed; space-group type = Immm, No. 71; E_tot = -43.5 eV per cell; energy relative to the elements, uncorrected = -2192 meV/atom; total magnetic moment = 0.0 μB per cell; distance to the lowest polymorph of the same formula = 0.0 meV per atom
1.0
-2.422 4.371 8.899
2.422 -4.371 8.899
2.422 4.371 -8.899
Ba As Cl
4 1 5
direct
0.188 0.188 0.000
0.249 0.500 0.749
0.751 0.500 0.251
0.812 0.812 0.000
0.000 0.000 0.000
0.060 0.325 0.735
0.410 0.675 0.735
0.500 0.000 0.500
0.590 0.325 0.265
0.940 0.675 0.265

ScTaPb PBE relaxed; space-group type = F-43m, No. 216; E_tot = -20.0 eV per cell; ΔE_f = 0.628 eV/atom; total magnetic moment = 0.0 μB per cell; distance to the lowest polymorph of the same formula = 495.9 meV per atom
1.0
0.000 3.341 3.341
3.341 0.000 3.341
3.341 3.341 0.000
Sc Ta Pb
1 1 1
direct
0.000 0.000 0.000
0.500 0.500 0.500
0.250 0.250 0.250

Pd3PtPb PBE relaxed; space-group type = Cmcm, No. 63; E_tot = -50.3 eV per cell; ΔE_f = 0.039 eV/atom; total magnetic moment = 0.0 μB per cell; distance to the lowest polymorph of the same formula = 100.9 meV per atom
1.0
2.628 -7.194 0.000
2.628 7.194 0.000
0.000 0.000 4.976
Pd Pt Pb
6 2 2
direct
0.000 0.000 0.000
0.000 0.000 0.500
0.114 0.398 0.750
0.398 0.114 0.250
0.602 0.886 0.750
0.886 0.602 0.250
0.458 0.542 0.250
0.542 0.458 0.750
0.185 0.815 0.750
0.815 0.185 0.250

TlCd3Pb4 PBE relaxed; space-group type = Pmm2, No. 25; E_tot = -19.6 eV per cell; ΔE_f = 0.041 eV/atom; total magnetic moment = 0.0 μB per cell
1.0
3.395 0.000 0.000
0.000 5.254 0.000
0.000 0.000 12.879
Tl Cd Pb
1 3 4
direct
0.000 0.000 0.000
0.000 0.500 0.861
0.500 0.000 0.500
0.500 0.500 0.376
0.000 0.000 0.274
0.000 0.500 0.604
0.500 0.000 0.750
0.500 0.500 0.124

KH6Pt PBE relaxed; space-group type = C2/m, No. 12; E_tot = -28.1 eV per cell; total magnetic moment = 0.0 μB per cell; distance to the lowest polymorph of the same formula = 28.4 meV per atom
1.0
3.488 -2.929 0.000
3.488 2.929 0.000
-1.077 0.000 4.331
K H Pt
1 6 1
direct
0.000 0.000 0.000
0.121 0.527 0.480
0.473 0.879 0.520
0.487 0.487 0.111
0.513 0.513 0.889
0.527 0.121 0.480
0.879 0.473 0.520
0.500 0.500 0.500

CdSiP2 PBE relaxed; space-group type = Fm-3m, No. 225; E_tot = -14.7 eV per cell; energy relative to the elements, uncorrected = 603 meV/atom; total magnetic moment = 0.0 μB per cell; distance to the lowest polymorph of the same formula = 803.6 meV per atom
1.0
0.000 3.255 3.255
3.255 0.000 3.255
3.255 3.255 0.000
Cd Si P
1 1 2
direct
0.000 0.000 0.000
0.500 0.500 0.500
0.250 0.250 0.250
0.750 0.750 0.750